# 1
4
Lattice="3.006 0.000 0.000 0.000 3.994 0.000 -1.460 0.000 4.918" Properties=species:S:1:pos:R:3 comment="MgBe2Cd | Alexandria via LeMat-Bulk | PBE-GGA | relaxed" vol_a3_per_cell=59.0 relative_energy_ev_per_fu=0.018 n_ef_per_ev_atom=0.22 delta_e_f_ev_per_atom=0.295 pbc="T T T"
Mg 0.000 0.000 0.000
Be 1.501 1.997 1.030
Be 1.517 0.000 2.126
Cd 0.009 1.997 3.173


# 2
6
Lattice="3.575 0.000 0.000 0.000 3.575 0.000 0.000 0.000 10.275" Properties=species:S:1:pos:R:3 comment="LiDyAg | Alexandria via LeMat-Bulk | PBE-GGA | relaxed" vol_a3_per_cell=131.3 relative_energy_ev_per_fu=0.030 n_ef_per_ev_atom=0.70 delta_e_f_ev_per_atom=-0.179 pbc="T T T"
Li 0.894 0.894 0.716
Li 2.682 2.682 9.559
Dy 0.894 0.894 3.904
Dy 2.682 2.682 6.371
Ag 0.894 0.894 8.166
Ag 2.682 2.682 2.109


# 3
5
Lattice="7.310 0.000 0.000 0.000 7.310 0.000 0.000 0.000 7.310" Properties=species:S:1:pos:R:3 comment="CsRb3Al | Alexandria via LeMat-Bulk | PBE-GGA | relaxed" vol_a3_per_cell=390.6 relative_energy_ev_per_fu=0.000 n_ef_per_ev_atom=0.74 delta_e_f_ev_per_atom=0.262 pbc="T T T"
Cs 0.000 0.000 0.000
Rb 0.000 3.655 3.655
Rb 3.655 0.000 3.655
Rb 3.655 3.655 0.000
Al 3.655 3.655 3.655


# 4
14
Lattice="0.000 4.145 4.145 4.145 0.000 4.145 4.145 4.145 0.000" Properties=species:S:1:pos:R:3 comment="LaNdB12 | Alexandria via LeMat-Bulk | PBE-GGA | relaxed" vol_a3_per_cell=142.5 n_ef_per_ev_atom=0.18 delta_e_f_ev_per_atom=-0.520 pbc="T T T"
La 0.000 0.000 0.000
Nd 4.145 4.145 4.145
B 2.073 2.073 0.828
B 2.073 0.828 2.073
B 3.318 2.073 2.073
B 0.828 2.073 2.073
B 2.073 3.318 2.073
B 2.073 2.073 3.318
B 6.218 6.218 4.973
B 6.218 4.973 6.218
B 7.463 6.218 6.218
B 4.973 6.218 6.218
B 6.218 7.463 6.218
B 6.218 6.218 7.463